[1]
A plane-wave DFT calculation with PBE was carried out for a geometry-optimized BaBr2O structure.

Cell lengths 12.0756, 5.2244, 8.4437 Å; angles 90.00, 90.00, 90.00 degrees
Last column: nearest neighbours and their distance in Å.
Positions (direct):
Ba (0.1790, 0.2500, 0.1264)  2 O 2.71
Ba (0.3210, 0.7500, 0.6264)  2 O 2.71
Ba (0.6790, 0.2500, 0.3736)  2 O 2.71
Ba (0.8210, 0.7500, 0.8736)  2 O 2.71
Br (0.1060, 0.7500, 0.8841)  1 O 2.61
Br (0.1108, 0.7500, 0.3641)  1 O 2.54
Br (0.3892, 0.2500, 0.8641)  1 O 2.54
Br (0.3940, 0.2500, 0.3841)  1 O 2.61
Br (0.6060, 0.7500, 0.6159)  1 O 2.61
Br (0.6108, 0.7500, 0.1359)  1 O 2.54
Br (0.8892, 0.2500, 0.6359)  1 O 2.54
Br (0.8940, 0.2500, 0.1159)  1 O 2.61
O (0.2403, 0.7500, 0.1268)  2 Br 2.54-2.61, 2 Ba 2.71
O (0.2597, 0.2500, 0.6268)  2 Br 2.54-2.61, 2 Ba 2.71
O (0.7403, 0.7500, 0.3732)  2 Br 2.54-2.61, 2 Ba 2.71
O (0.7597, 0.2500, 0.8732)  2 Br 2.54-2.61, 2 Ba 2.71

Energy relative to the lowest polymorph listed for this composition, meV/atom: 298
Space group: Pnma, No. 62
ΔE_f (raw), eV/f.u.: -4.8
Energy, eV/atom: -3.7681
Mass density, Mg/m³: 3.9

=====

[2]
A plane-wave DFT calculation with PBE was carried out for a geometry-optimized ZrCr2Te structure.

Cell lengths 3.5256, 3.5256, 6.1831 Å; angles 90.00, 90.00, 90.00 degrees
Last column: nearest neighbours and their distance in Å.
Positions (direct):
Zr (0.0000, 0.0000, 0.0000)  5 Cr 2.82-3.09, 4 Te 2.94
Cr (0.0000, 0.0000, 0.4559)  4 Cr 2.69, 1 Zr 2.82
Cr (0.5000, 0.5000, 0.2940)  4 Cr 2.69, 1 Te 2.80
Te (0.5000, 0.5000, 0.7466)  5 Cr 2.80-3.07, 4 Zr 2.94

Space group: P4mm, No. 99
DOS at the Fermi energy, states/eV per cell: 4.2
ΔE_f (raw), eV/f.u.: 0.6
Energy, eV/atom: -7.5876
Mass density, Mg/m³: 7.0